[1]
A plane-wave DFT calculation with GGA-PBE was carried out for a relaxed structure of Rb4Tl3Cd.

Computed properties:
The crystal system is tetragonal. The volume is 39.00 Å³/atom. The calculation puts the electronic total energy at -1.479 eV per atom.

Cell: 6.0268 6.0268 8.5903 Å, 90.00 90.00 90.00°
Closest atoms and distances in Å follow each position.
Space group P-4m2 (No. 115)
Symmetry-distinct sites (fractional):
Rb  0.0000  0.0000  0.0000 x1  4 Tl 3.69, 4 Rb 3.71
Rb  0.0000  0.5000  0.7484 x2  2 Cd 3.69, 4 Rb 3.69-3.71, 2 Tl 3.71
Rb  0.5000  0.5000  0.5000 x1  4 Rb 3.69, 4 Tl 3.71
Tl  0.0000  0.5000  0.2481 x2  2 Tl 3.69, 4 Rb 3.69-3.71, 2 Cd 3.71
Tl  0.5000  0.5000  0.0000 x1  4 Tl 3.69, 4 Rb 3.71
Cd  0.0000  0.0000  0.5000 x1  4 Rb 3.69, 4 Tl 3.71

[2]
A plane-wave DFT calculation with GGA-PBE was carried out for a relaxed structure of Rb2TlCd.

Computed properties:
The crystal system is cubic. The value obtained for the polymorph energy (0 for the lowest one) is 17 meV/atom. The volume is 38.54 Å³/atom.

Cell: 8.5115 8.5115 8.5115 Å, 90.00 90.00 90.00°
Closest atoms and distances in Å follow each position.
Space group F-43m (No. 216)
Symmetry-distinct sites (fractional):
Rb  0.0000  0.0000  0.0000 x4  4 Cd 3.69, 4 Rb 3.69
Rb  0.2500  0.2500  0.2500 x4  4 Tl 3.69, 4 Rb 3.69
Tl  0.0000  0.0000  0.5000 x4  4 Rb 3.69, 4 Cd 3.69
Cd  0.2500  0.2500  0.7500 x4  4 Tl 3.69, 4 Rb 3.69

[3]
A plane-wave DFT calculation with GGA-PBE was carried out for a relaxed structure of Rb2TlCd.

Computed properties:
The crystal system is orthorhombic. The value obtained for the polymorph energy (0 for the lowest one) is 0 meV/atom. The volume is 38.81 Å³/atom.

Cell: 5.9511 6.1049 8.5452 Å, 90.00 90.00 90.00°
Closest atoms and distances in Å follow each position.
Space group Pmma (No. 51)
Symmetry-distinct sites (fractional):
Rb  0.2500  0.0000  0.1252 x2  4 Rb 3.66-3.71, 2 Tl 3.70, 2 Cd 3.74
Rb  0.2500  0.5000  0.3724 x2  2 Cd 3.64, 4 Rb 3.69-3.71, 2 Tl 3.70
Tl  0.2500  0.0000  0.6166 x2  2 Tl 3.58, 4 Rb 3.70, 2 Cd 3.75
Cd  0.2500  0.5000  0.8720 x2  4 Rb 3.64-3.74, 2 Cd 3.69, 2 Tl 3.75

[4]
A plane-wave DFT calculation with GGA-PBE was carried out for a relaxed structure of Rb4TlCd3.

Computed properties:
The crystal system is tetragonal. The volume is 37.89 Å³/atom. The calculation puts the electronic total energy at -1.061 eV per atom.

Cell: 5.9929 5.9929 8.4404 Å, 90.00 90.00 90.00°
Closest atoms and distances in Å follow each position.
Space group P-4m2 (No. 115)
Symmetry-distinct sites (fractional):
Rb  0.0000  0.0000  0.0000 x1  4 Rb 3.67, 4 Cd 3.70
Rb  0.0000  0.5000  0.7500 x2  4 Rb 3.66-3.67, 2 Tl 3.66, 2 Cd 3.67
Rb  0.5000  0.5000  0.5000 x1  4 Cd 3.63, 4 Rb 3.66
Tl  0.0000  0.0000  0.5000 x1  4 Cd 3.63, 4 Rb 3.66
Cd  0.0000  0.5000  0.2569 x2  4 Rb 3.63-3.70, 2 Tl 3.63, 2 Cd 3.70
Cd  0.5000  0.5000  0.0000 x1  4 Rb 3.67, 4 Cd 3.70

[5]
A plane-wave DFT calculation with GGA-PBE was carried out for a relaxed structure of RbUCd.

Computed properties:
The crystal system is cubic. The value obtained for the polymorph energy (0 for the lowest one) is 0 meV/atom. The volume is 41.57 Å³/atom.

Cell: 7.9306 7.9306 7.9306 Å, 90.00 90.00 90.00°
Closest atoms and distances in Å follow each position.
Space group F-43m (No. 216)
Symmetry-distinct sites (fractional):
Rb  0.0000  0.0000  0.0000 x4  4 Cd 3.43
U  0.0000  0.0000  0.5000 x4  4 Cd 3.43
Cd  0.2500  0.2500  0.2500 x4  4 U 3.43, 4 Rb 3.43

[6]
A plane-wave DFT calculation with GGA-PBE was carried out for a relaxed structure of RbYCd.

Computed properties:
The crystal system is cubic. The value obtained for the polymorph energy (0 for the lowest one) is 445 meV/atom. The volume is 39.24 Å³/atom.

Cell: 7.7795 7.7795 7.7795 Å, 90.00 90.00 90.00°
Closest atoms and distances in Å follow each position.
Space group F-43m (No. 216)
Symmetry-distinct sites (fractional):
Rb  0.0000  0.0000  0.0000 x4  4 Y 3.37, 4 Cd 3.37
Y  0.2500  0.2500  0.2500 x4  4 Rb 3.37
Cd  0.2500  0.2500  0.7500 x4  4 Rb 3.37

[7]
A plane-wave DFT calculation with GGA-PBE was carried out for a relaxed structure of RbYCd.

Computed properties:
The crystal system is cubic. The value obtained for the polymorph energy (0 for the lowest one) is 0 meV/atom. The volume is 41.42 Å³/atom.

Cell: 7.9214 7.9214 7.9214 Å, 90.00 90.00 90.00°
Closest atoms and distances in Å follow each position.
Space group F-43m (No. 216)
Symmetry-distinct sites (fractional):
Rb  0.0000  0.0000  0.0000 x4  4 Cd 3.43
Y  0.0000  0.0000  0.5000 x4  4 Cd 3.43
Cd  0.2500  0.2500  0.2500 x4  4 Rb 3.43, 4 Y 3.43

[8]
A plane-wave DFT calculation with GGA-PBE was carried out for a relaxed structure of RbZrCd.

Computed properties:
The crystal system is cubic. The value obtained for the polymorph energy (0 for the lowest one) is 0 meV/atom. The volume is 38.04 Å³/atom.

Cell: 7.6998 7.6998 7.6998 Å, 90.00 90.00 90.00°
Closest atoms and distances in Å follow each position.
Space group F-43m (No. 216)
Symmetry-distinct sites (fractional):
Rb  0.0000  0.0000  0.0000 x4  4 Cd 3.33
Zr  0.0000  0.0000  0.5000 x4  4 Cd 3.33
Cd  0.2500  0.2500  0.2500 x4  4 Zr 3.33, 4 Rb 3.33

[9]
A plane-wave DFT calculation with GGA-PBE was carried out for a relaxed structure of RbZrCd.

Computed properties:
The crystal system is cubic. The value obtained for the polymorph energy (0 for the lowest one) is 483 meV/atom. The volume is 40.61 Å³/atom.

Cell: 7.8690 7.8690 7.8690 Å, 90.00 90.00 90.00°
Closest atoms and distances in Å follow each position.
Space group F-43m (No. 216)
Symmetry-distinct sites (fractional):
Rb  0.0000  0.0000  0.0000 x4  4 Cd 3.41, 4 Zr 3.41
Zr  0.2500  0.2500  0.2500 x4  4 Rb 3.41
Cd  0.2500  0.2500  0.7500 x4  4 Rb 3.41

[10]
A plane-wave DFT calculation with GGA-PBE was carried out for a relaxed structure of CdRe.

Computed properties:
The crystal system is hexagonal. The value obtained for the polymorph energy (0 for the lowest one) is 0 meV/atom. As for the calculated formation energy: 1.3 eV/f.u. The volume is 16.93 Å³/atom.

Cell: 2.8257 2.8257 4.8975 Å, 90.00 90.00 120.00°
Closest atoms and distances in Å follow each position.
Space group P-6m2 (No. 187)
Symmetry-distinct sites (fractional):
Cd  0.0000  0.0000  0.0000 x1  6 Cd 2.83, 6 Re 2.94
Re  0.6667  0.3333  0.5000 x1  6 Re 2.83, 6 Cd 2.94

[11]
A plane-wave DFT calculation with GGA-PBE was carried out for a relaxed structure of Cd2Re.

Computed properties:
The crystal system is cubic. The value obtained for the polymorph energy (0 for the lowest one) is 471 meV/atom. As for the calculated formation energy: 3.7 eV/f.u. The volume is 22.43 Å³/atom.

Cell: 6.4564 6.4564 6.4564 Å, 90.00 90.00 90.00°
Closest atoms and distances in Å follow each position.
Space group Fm-3m (No. 225)
Symmetry-distinct sites (fractional):
Cd  0.2500  0.2500  0.2500 x8  4 Re 2.80
Re  0.0000  0.0000  0.0000 x4  8 Cd 2.80

[12]
A plane-wave DFT calculation with GGA-PBE was carried out for a relaxed structure of Cd2Re.

Computed properties:
The crystal system is cubic. The value obtained for the polymorph energy (0 for the lowest one) is 1462 meV/atom. As for the calculated formation energy: 6.6 eV/f.u. The volume is 74.13 Å³/atom.

Cell: 12.1171 12.1171 12.1171 Å, 90.00 90.00 90.00°
Closest atoms and distances in Å follow each position.
Space group Fd-3m (No. 227, origin choice 2)
Symmetry-distinct sites (fractional):
Cd  0.0000  0.0000  0.0000 x16  2 Re 2.62
Re  0.1250  0.1250  0.1250 x8  4 Cd 2.62